[1]
Mg2FeB2Ru5 PBE optimized geometry; theoretical density = 8.18 g/cm³; calculated formation energy = -0.13 eV/atom; D(E_F) = 1.089 states/eV per atom
1.0
9.340 0.000 0.000
0.000 9.340 0.000
0.000 0.000 2.938
Mg Fe B Ru
4 2 4 10
direct
0.177 0.323 0.000
0.323 0.823 0.000
0.677 0.177 0.000
0.823 0.677 0.000
0.000 0.000 0.000
0.500 0.500 0.000
0.125 0.625 0.000
0.375 0.125 0.000
0.625 0.875 0.000
0.875 0.375 0.000
0.000 0.500 0.500
0.068 0.788 0.500
0.212 0.068 0.500
0.288 0.568 0.500
0.432 0.288 0.500
0.500 0.000 0.500
0.568 0.712 0.500
0.712 0.432 0.500
0.788 0.932 0.500
0.932 0.212 0.500

[2]
BeGaFe3 PBE optimized geometry; relative energy among the computed polymorphs = 4.51 eV per formula unit; theoretical density = 4.95 g/cm³; calculated formation energy = 1.27 eV/atom; D(E_F) = 1.478 states/eV per atom
1.0
4.355 0.000 0.000
0.000 4.355 0.000
0.000 0.000 4.355
Be Ga Fe
1 1 3
direct
0.000 0.000 0.000
0.500 0.500 0.500
0.000 0.500 0.500
0.500 0.000 0.500
0.500 0.500 0.000